Compound: HgMoO4
Source: the Alexandria database
Functional: PBE+U
Structure: optimized geometry

Unit cell a=4.943 b=5.645 c=5.770 alpha=98.66 beta=90.00 gamma=90.00
Fractional coordinates of all 12 atoms:
Hg  0.000  0.500  0.500
Hg  0.500  0.000  0.500
Mo  0.500  0.500  0.000
Mo  0.000  0.000  0.000
O  0.243  0.755  0.108
O  0.257  0.255  0.108
O  0.664  0.557  0.298
O  0.164  0.943  0.702
O  0.836  0.057  0.298
O  0.336  0.443  0.702
O  0.743  0.745  0.892
O  0.757  0.245  0.892

Results
The calculation puts the uncorrected energy at -67.22 eV per cell. The total magnetization comes out at 0.00 μB per formula unit.